Density functional theory data (PBE) for a relaxed SrMgCdGe2 crystal.

Cell lengths 6.714, 6.714, 6.714 Å; angles 140.75, 140.75, 56.72 degrees
Fractional positions:
Sr1 0.000 0.000 0.000
Mg1 0.750 0.250 0.500
Cd1 0.250 0.750 0.500
Ge1 0.391 0.391 0.000
Ge2 0.609 0.609 0.000

SG = I-4m2 (119)
ΔH_f (0 K) = -38.8 kJ per mole of atoms
Total moment = 0.0 μB per formula unit